AlSe3 | GGA-PBE | relaxed

## Properties
size of the total moment: 0.0 μB/f.u.
uncorrected formation energy: -0.137 eV/atom
energy above the lowest structure with this stoichiometry: 0.146 eV/atom
total DFT energy (no corrections): -3.6864 eV/atom
N(E_F): 6.93 states/eV per cell

Unit cell a=3.7417 b=3.7417 c=20.9991 alpha=90.00 beta=90.00 gamma=120.00
Space group R-3m (No. 166, hexagonal axes)
Inequivalent atoms, fractional coordinates:
Al: 0.0000 0.0000 0.0000 (multiplicity 3)
Se: 0.0000 0.0000 0.2639 (multiplicity 6)
Se: 0.0000 0.0000 0.5000 (multiplicity 3)

---

Pm3Al4Ge4 | GGA-PBE | relaxed

## Properties
size of the total moment: 0.0 μB/f.u.
energy of formation: -473 meV per atom
energy above the lowest structure with this stoichiometry: 0.013 eV/atom
total DFT energy (no corrections): -4.8089 eV/atom
N(E_F): 9.95 states/eV per cell

Unit cell a=4.086 b=8.106 c=14.121 alpha=90.00 beta=90.00 gamma=90.00
Space group Immm (No. 71)
Inequivalent atoms, fractional coordinates:
Pm: 0.000 0.000 0.000 (multiplicity 2)
Pm: 0.000 0.500 0.118 (multiplicity 4)
Al: 0.000 0.302 0.325 (multiplicity 8)
Ge: 0.000 0.000 0.219 (multiplicity 4)
Ge: 0.000 0.213 0.500 (multiplicity 4)

---

KRb3Si | GGA-PBE | relaxed

## Properties
size of the total moment: 2.0 μB/f.u.
uncorrected formation energy: 0.816 eV/atom
energy above the lowest structure with this stoichiometry: 0.514 eV/atom
total DFT energy (no corrections): -1.0686 eV/atom
N(E_F): 2.15 states/eV per cell

Unit cell a=7.658 b=7.658 c=7.658 alpha=90.00 beta=90.00 gamma=90.00
Space group Pm-3m (No. 221)
Inequivalent atoms, fractional coordinates:
K: 0.000 0.000 0.000 (multiplicity 1)
Rb: 0.000 0.000 0.500 (multiplicity 3)
Si: 0.500 0.500 0.500 (multiplicity 1)

---

Ac3TbDy | GGA-PBE | relaxed

## Properties
size of the total moment: 0.0 μB/f.u.
energy of formation: 182 meV per atom
total DFT energy (no corrections): -4.1292 eV/atom
N(E_F): 29.40 states/eV per cell

Unit cell a=6.525 b=9.382 c=13.261 alpha=90.00 beta=90.00 gamma=90.00
Space group Pnna (No. 52)
Inequivalent atoms, fractional coordinates:
Ac: 0.088 0.173 0.073 (multiplicity 8)
Ac: 0.140 0.250 0.750 (multiplicity 4)
Tb: 0.250 0.000 0.557 (multiplicity 4)
Dy: 0.250 0.000 0.306 (multiplicity 4)

---

NbRePd2 | GGA-PBE | relaxed

## Properties
size of the total moment: 0.0 μB/f.u.
energy of formation: 323 meV per atom
energy above the lowest structure with this stoichiometry: 0.000 eV/atom
total DFT energy (no corrections): -7.9033 eV/atom
N(E_F): 24.04 states/eV per cell

Unit cell a=6.360 b=6.360 c=6.360 alpha=90.00 beta=90.00 gamma=90.00
Space group Fm-3m (No. 225)
Inequivalent atoms, fractional coordinates:
Nb: 0.000 0.000 0.000 (multiplicity 4)
Re: 0.000 0.000 0.500 (multiplicity 4)
Pd: 0.250 0.250 0.250 (multiplicity 8)

---

Co2SbP | GGA-PBE | relaxed

## Properties
size of the total moment: 1.7 μB/f.u.
uncorrected formation energy: 0.237 eV/atom
energy above the lowest structure with this stoichiometry: 0.457 eV/atom
total DFT energy (no corrections): -5.6992 eV/atom
N(E_F): 19.99 states/eV per cell

Unit cell a=6.061 b=6.061 c=6.061 alpha=90.00 beta=90.00 gamma=90.00
Space group Fm-3m (No. 225)
Inequivalent atoms, fractional coordinates:
Co: 0.250 0.250 0.250 (multiplicity 8)
Sb: 0.000 0.000 0.000 (multiplicity 4)
P: 0.000 0.000 0.500 (multiplicity 4)

---

KY2In | GGA-PBE | relaxed

## Properties
size of the total moment: 0.0 μB/f.u.
energy of formation: 224 meV per atom
total DFT energy (no corrections): -3.9672 eV/atom
N(E_F): 11.15 states/eV per cell

Unit cell a=6.976 b=11.915 c=3.452 alpha=90.00 beta=114.98 gamma=90.00
Space group C2/m (No. 12)
Inequivalent atoms, fractional coordinates:
K: 0.000 0.000 0.000 (multiplicity 2)
Y: 0.250 0.250 0.500 (multiplicity 4)
In: 0.000 0.500 0.000 (multiplicity 2)

---

SrTa2Br | GGA-PBE | relaxed

## Properties
size of the total moment: 0.0 μB/f.u.
uncorrected formation energy: 0.125 eV/atom
energy above the lowest structure with this stoichiometry: 0.058 eV/atom
total DFT energy (no corrections): -6.6397 eV/atom
N(E_F): 2.91 states/eV per cell

Unit cell a=3.548 b=3.548 c=8.697 alpha=90.00 beta=90.00 gamma=90.00
Space group P4mm (No. 99)
Inequivalent atoms, fractional coordinates:
Sr: 0.000 0.000 0.000 (multiplicity 1)
Ta: 0.000 0.000 0.409 (multiplicity 1)
Ta: 0.500 0.500 0.291 (multiplicity 1)
Br: 0.500 0.500 0.785 (multiplicity 1)

---

Pr2SmH6 | GGA-PBE | relaxed

## Properties
size of the total moment: 0.0 μB/f.u.
total DFT energy (no corrections): -4.4663 eV/atom
N(E_F): 5.28 states/eV per cell

Unit cell a=3.872 b=3.872 c=16.458 alpha=90.00 beta=90.00 gamma=90.00
Space group I4/mmm (No. 139)
Inequivalent atoms, fractional coordinates:
Pr: 0.000 0.000 0.165 (multiplicity 4)
Sm: 0.000 0.000 0.500 (multiplicity 2)
H: 0.000 0.500 0.080 (multiplicity 8)
H: 0.000 0.500 0.250 (multiplicity 4)

---

Hg2MoIr | GGA-PBE | relaxed

## Properties
size of the total moment: 0.1 μB/f.u.
energy of formation: 714 meV per atom
energy above the lowest structure with this stoichiometry: 0.539 eV/atom
total DFT energy (no corrections): -4.3598 eV/atom
N(E_F): 4.77 states/eV per cell

Unit cell a=3.999 b=3.999 c=4.519 alpha=90.00 beta=90.00 gamma=90.00
Space group P4/mmm (No. 123)
Inequivalent atoms, fractional coordinates:
Hg: 0.000 0.500 0.000 (multiplicity 2)
Mo: 0.000 0.000 0.500 (multiplicity 1)
Ir: 0.500 0.500 0.500 (multiplicity 1)

---

Sr2Co2Ge | GGA-PBE | relaxed

## Properties
size of the total moment: 2.1 μB/f.u.
energy of formation: 132 meV per atom
total DFT energy (no corrections): -4.3066 eV/atom
N(E_F): 13.21 states/eV per cell

Unit cell a=6.756 b=6.756 c=4.746 alpha=90.00 beta=90.00 gamma=90.00
Space group P4/mbm (No. 127)
Inequivalent atoms, fractional coordinates:
Sr: 0.183 0.317 0.000 (multiplicity 4)
Co: 0.119 0.619 0.500 (multiplicity 4)
Ge: 0.000 0.000 0.500 (multiplicity 2)

---

TlIr2Os | GGA-PBE | relaxed

## Properties
size of the total moment: 0.0 μB/f.u.
energy of formation: 506 meV per atom
energy above the lowest structure with this stoichiometry: 0.135 eV/atom
total DFT energy (no corrections): -7.3236 eV/atom
N(E_F): 3.14 states/eV per cell

Unit cell a=2.840 b=3.828 c=6.075 alpha=90.00 beta=90.00 gamma=90.00
Space group Pmmm (No. 47)
Inequivalent atoms, fractional coordinates:
Tl: 0.000 0.000 0.000 (multiplicity 1)
Ir: 0.500 0.500 0.283 (multiplicity 2)
Os: 0.000 0.000 0.500 (multiplicity 1)

---

Ba2Li3NpO6 | GGA-PBE | relaxed

## Properties
size of the total moment: 2.0 μB/f.u.
uncorrected formation energy: -2.405 eV/atom
total DFT energy (no corrections): -6.7619 eV/atom
N(E_F): 16.54 states/eV per cell

Unit cell a=6.131 b=12.060 c=5.390 alpha=90.00 beta=109.98 gamma=90.00
Space group C2/m (No. 12)
Inequivalent atoms, fractional coordinates:
Ba: 0.000 0.174 0.000 (multiplicity 4)
Li: 0.000 0.000 0.500 (multiplicity 2)
Li: 0.000 0.400 0.500 (multiplicity 4)
Np: 0.000 0.500 0.000 (multiplicity 2)
O: 0.201 0.373 0.256 (multiplicity 8)
O: 0.227 0.500 0.768 (multiplicity 4)

---

Dy5TmPb4 | GGA-PBE | relaxed

## Properties
size of the total moment: 0.0 μB/f.u.
energy of formation: -196 meV per atom
total DFT energy (no corrections): -4.4273 eV/atom
N(E_F): 18.21 states/eV per cell

Unit cell a=17.590 b=3.646 c=9.744 alpha=90.00 beta=91.88 gamma=90.00
Space group C2/m (No. 12)
Inequivalent atoms, fractional coordinates:
Dy: 0.000 0.000 0.000 (multiplicity 2)
Dy: 0.155 0.500 0.258 (multiplicity 4)
Dy: 0.190 0.500 0.889 (multiplicity 4)
Tm: 0.000 0.000 0.500 (multiplicity 2)
Pb: 0.026 0.500 0.748 (multiplicity 4)
Pb: 0.181 0.000 0.568 (multiplicity 4)

---

Na3TiAl | GGA-PBE | relaxed

## Properties
size of the total moment: 0.1 μB/f.u.
energy of formation: 1138 meV per atom
energy above the lowest structure with this stoichiometry: 0.000 eV/atom
total DFT energy (no corrections): -1.9807 eV/atom
N(E_F): 16.74 states/eV per cell

Unit cell a=5.569 b=5.569 c=5.569 alpha=90.00 beta=90.00 gamma=90.00
Space group Pm-3m (No. 221)
Inequivalent atoms, fractional coordinates:
Na: 0.000 0.000 0.500 (multiplicity 3)
Ti: 0.500 0.500 0.500 (multiplicity 1)
Al: 0.000 0.000 0.000 (multiplicity 1)

---

NdAs2Ru | GGA-PBE | relaxed

## Properties
size of the total moment: 0.0 μB/f.u.
energy of formation: -754 meV per atom
energy above the lowest structure with this stoichiometry: 0.096 eV/atom
total DFT energy (no corrections): -6.5892 eV/atom
N(E_F): 10.20 states/eV per cell

Unit cell a=4.1550 b=4.1550 c=16.0687 alpha=90.00 beta=90.00 gamma=120.00
Space group R-3m (No. 166, hexagonal axes)
Inequivalent atoms, fractional coordinates:
Nd: 0.0000 0.0000 0.0000 (multiplicity 3)
As: 0.0000 0.0000 0.2239 (multiplicity 6)
Ru: 0.0000 0.0000 0.5000 (multiplicity 3)

---

AlHg5 | GGA-PBE | relaxed

## Properties
size of the total moment: 0.0 μB/f.u.
energy of formation: 99 meV per atom
energy above the lowest structure with this stoichiometry: 0.024 eV/atom
total DFT energy (no corrections): -0.7760 eV/atom
N(E_F): 1.78 states/eV per cell

Unit cell a=3.174 b=3.174 c=14.842 alpha=90.00 beta=90.00 gamma=90.00
Space group P4/mmm (No. 123)
Inequivalent atoms, fractional coordinates:
Al: 0.000 0.000 0.000 (multiplicity 1)
Hg: 0.000 0.000 0.318 (multiplicity 2)
Hg: 0.500 0.500 0.141 (multiplicity 2)
Hg: 0.500 0.500 0.500 (multiplicity 1)

---

La3Dy2Y6Mg | GGA-PBE | relaxed

## Properties
size of the total moment: 0.0 μB/f.u.
energy of formation: 33 meV per atom
total DFT energy (no corrections): -5.3304 eV/atom
N(E_F): 35.87 states/eV per cell

Unit cell a=6.224 b=10.788 c=11.843 alpha=90.00 beta=100.13 gamma=90.00
Space group C2/m (No. 12)
Inequivalent atoms, fractional coordinates:
La: 0.000 0.000 0.000 (multiplicity 2)
La: 0.000 0.334 0.000 (multiplicity 4)
Dy: 0.000 0.167 0.500 (multiplicity 4)
Y: 0.246 0.334 0.743 (multiplicity 8)
Y: 0.249 0.000 0.743 (multiplicity 4)
Mg: 0.000 0.500 0.500 (multiplicity 2)

---

NdHPt2 | GGA-PBE | relaxed

## Properties
size of the total moment: 0.0 μB/f.u.
total DFT energy (no corrections): -4.8061 eV/atom
N(E_F): 5.68 states/eV per cell

Unit cell a=3.0524 b=3.0524 c=23.9733 alpha=90.00 beta=90.00 gamma=120.00
Space group R-3m (No. 166, hexagonal axes)
Inequivalent atoms, fractional coordinates:
Nd: 0.0000 0.0000 0.0000 (multiplicity 3)
H: 0.0000 0.0000 0.5000 (multiplicity 3)
Pt: 0.0000 0.0000 0.1164 (multiplicity 6)

---

Sm2Dy2Er | GGA-PBE | relaxed

## Properties
size of the total moment: 0.0 μB/f.u.
energy of formation: 135 meV per atom
energy above the lowest structure with this stoichiometry: 0.120 eV/atom
total DFT energy (no corrections): -4.5056 eV/atom
N(E_F): 28.87 states/eV per cell

Unit cell a=3.620 b=5.693 c=31.630 alpha=90.00 beta=90.00 gamma=90.00
Space group Imma (No. 74)
Inequivalent atoms, fractional coordinates:
Sm: 0.000 0.250 0.022 (multiplicity 4)
Sm: 0.000 0.250 0.121 (multiplicity 4)
Dy: 0.000 0.250 0.292 (multiplicity 4)
Dy: 0.000 0.250 0.805 (multiplicity 4)
Er: 0.000 0.250 0.580 (multiplicity 4)

---

Dy4MgIn | GGA-PBE | relaxed

## Properties
size of the total moment: 0.0 μB/f.u.
energy of formation: 171 meV per atom
total DFT energy (no corrections): -3.6189 eV/atom
N(E_F): 27.62 states/eV per cell

Unit cell a=5.1721 b=5.1721 c=25.6566 alpha=90.00 beta=90.00 gamma=120.00
Space group R-3m (No. 166, hexagonal axes)
Inequivalent atoms, fractional coordinates:
Dy: 0.0000 0.0000 0.1247 (multiplicity 6)
Dy: 0.0000 0.0000 0.3754 (multiplicity 6)
Mg: 0.0000 0.0000 0.0000 (multiplicity 3)
In: 0.0000 0.0000 0.5000 (multiplicity 3)

---

Tl2AgBr4 | GGA-PBE | relaxed

## Properties
size of the total moment: 0.0 μB/f.u.
uncorrected formation energy: -0.554 eV/atom
energy above the lowest structure with this stoichiometry: 0.025 eV/atom
total DFT energy (no corrections): -2.5929 eV/atom
N(E_F): 9.89 states/eV per cell

Unit cell a=15.278 b=4.304 c=8.359 alpha=90.00 beta=120.58 gamma=90.00
Space group C2/m (No. 12)
Inequivalent atoms, fractional coordinates:
Tl: 0.202 0.000 0.195 (multiplicity 4)
Ag: 0.000 0.500 0.500 (multiplicity 2)
Br: 0.098 0.500 0.871 (multiplicity 4)
Br: 0.132 0.000 0.512 (multiplicity 4)

---

Fe3Co | GGA-PBE | relaxed

## Properties
size of the total moment: 9.3 μB/f.u.
energy of formation: -41 meV per atom
total DFT energy (no corrections): -8.1641 eV/atom
N(E_F): 2.00 states/eV per cell

Unit cell a=4.037 b=4.037 c=2.833 alpha=90.00 beta=90.00 gamma=90.00
Space group P4/mmm (No. 123)
Inequivalent atoms, fractional coordinates:
Fe: 0.000 0.000 0.000 (multiplicity 1)
Fe: 0.000 0.500 0.500 (multiplicity 2)
Co: 0.500 0.500 0.000 (multiplicity 1)

---

TeAsBr | GGA-PBE | relaxed

## Properties
size of the total moment: 0.0 μB/f.u.
uncorrected formation energy: 0.164 eV/atom
total DFT energy (no corrections): -2.9907 eV/atom
N(E_F): 6.36 states/eV per cell

Unit cell a=3.872 b=5.836 c=15.175 alpha=90.00 beta=90.00 gamma=90.00
Space group Fmm2 (No. 42)
Inequivalent atoms, fractional coordinates:
Te: 0.000 0.000 0.000 (multiplicity 4)
As: 0.000 0.000 0.364 (multiplicity 4)
Br: 0.000 0.000 0.734 (multiplicity 4)

---

NaZrAs2Br | GGA-PBE | relaxed

## Properties
size of the total moment: 0.0 μB/f.u.
uncorrected formation energy: -0.466 eV/atom
energy above the lowest structure with this stoichiometry: 0.000 eV/atom
total DFT energy (no corrections): -4.6334 eV/atom
N(E_F): 2.26 states/eV per cell

Unit cell a=5.176 b=5.176 c=5.693 alpha=90.00 beta=90.00 gamma=90.00
Space group P4/mmm (No. 123)
Inequivalent atoms, fractional coordinates:
Na: 0.000 0.000 0.000 (multiplicity 1)
Zr: 0.500 0.500 0.500 (multiplicity 1)
As: 0.000 0.500 0.500 (multiplicity 2)
Br: 0.500 0.500 0.000 (multiplicity 1)

---

CdAsAu2 | GGA-PBE | relaxed

## Properties
size of the total moment: 0.0 μB/f.u.
energy of formation: 59 meV per atom
energy above the lowest structure with this stoichiometry: 0.051 eV/atom
total DFT energy (no corrections): -2.9707 eV/atom
N(E_F): 3.01 states/eV per cell

Unit cell a=3.2562 b=3.2562 c=25.5388 alpha=90.00 beta=90.00 gamma=120.00
Space group R-3m (No. 166, hexagonal axes)
Inequivalent atoms, fractional coordinates:
Cd: 0.0000 0.0000 0.0000 (multiplicity 3)
As: 0.0000 0.0000 0.5000 (multiplicity 3)
Au: 0.0000 0.0000 0.2461 (multiplicity 6)